DFT (PBEsol) results for KCdSe2 after structural relaxation.

Unit cell a=3.1117 b=3.8067 c=7.9852 alpha=90.00 beta=90.00 gamma=90.00
Atoms (fractional coordinates):
K 0.0000 0.0000 0.0000
Cd 0.0000 0.0000 0.5000
Se 0.5000 0.5000 0.2815
Se 0.5000 0.5000 0.7185

Calculated values
For the total energy, the calculation gives -11.82 eV/cell. The calculation puts the total magnetization at 0.000 μB per formula unit.